Entry 1:
Below is a relaxed TcMo3 crystal, with properties calculated at the PBE level.

```
4
Lattice="2.596 0.000 0.000 0.000 4.641 0.000 0.000 0.000 5.238" Properties=species:S:1:pos:R:3 pbc="T T T"
Tc 0.000 0.000 0.000
Mo 0.000 2.320 3.660
Mo 1.298 0.000 2.609
Mo 1.298 2.320 1.029
```

excess energy over the best structure of this formula in the dataset: 1.14 eV/f.u.
space group: Pmm2 (25)
total moment: 0.00 μB/f.u.
formation enthalpy at 0 K: 0.31 eV per atom


Entry 2:
Below is a relaxed Sm3TmSc3 crystal, with properties calculated at the PBE level.

```
14
Lattice="4.178 2.412 7.008 -4.178 2.412 7.008 0.000 -4.824 7.008" Properties=species:S:1:pos:R:3 pbc="T T T"
Sm -0.990 -1.713 9.202
Sm -1.979 0.001 11.824
Sm -0.988 1.714 9.202
Sm 0.988 -1.714 11.824
Sm 1.979 -0.001 9.202
Sm 0.990 1.713 11.824
Tm 0.000 0.000 3.144
Tm 0.000 0.000 17.881
Sc -0.627 -1.949 6.058
Sc -1.374 1.517 6.058
Sc -2.001 -0.431 14.968
Sc 2.001 0.431 6.058
Sc 1.374 -1.517 14.968
Sc 0.627 1.949 14.968
```

excess energy over the best structure of this formula in the dataset: 0.91 eV/f.u.
space group: R-3 (148)
total moment: 0.00 μB/f.u.
formation enthalpy at 0 K: 0.31 eV per atom


Entry 3:
Below is a relaxed Ti8SnPb2 crystal, with properties calculated at the PBE level.

```
11
Lattice="7.457 -2.096 0.000 7.457 2.096 0.000 -2.529 0.000 6.602" Properties=species:S:1:pos:R:3 pbc="T T T"
Ti 0.011 0.000 1.634
Ti 0.310 0.000 4.539
Ti 3.322 0.000 3.854
Ti 6.099 0.000 0.369
Ti 6.285 0.000 6.233
Ti 9.062 0.000 2.748
Ti 12.074 0.000 2.064
Ti 12.374 0.000 4.969
Sn 6.192 0.000 3.301
Pb 2.838 0.000 0.995
Pb 9.547 0.000 5.608
```

space group: C2/m (12)
total moment: 0.00 μB/f.u.
formation enthalpy at 0 K: -0.10 eV per atom


Entry 4:
Below is a relaxed AsAuBr2 crystal, with properties calculated at the PBE level.

```
12
Lattice="3.740 0.000 0.000 -1.870 3.239 0.000 0.000 0.000 26.695" Properties=species:S:1:pos:R:3 pbc="T T T"
As 0.000 0.000 0.000
As 0.000 2.159 17.796
As 1.870 1.080 8.898
Au 0.000 0.000 13.347
Au 0.000 2.159 4.449
Au 1.870 1.080 22.246
Br 0.000 0.000 2.598
Br 0.000 0.000 24.096
Br 0.000 2.159 15.198
Br 0.000 2.159 20.395
Br 1.870 1.080 6.300
Br 1.870 1.080 11.496
```

excess energy over the best structure of this formula in the dataset: 2.01 eV/f.u.
ΔE_f (raw): 0.28 eV per atom
space group: R-3m (166)
total moment: 0.00 μB/f.u.